12
Lattice="-0.2881 -2.0866 5.8181 2.4351 -3.7748 -4.2553 3.7193 4.9419 0.1772" Properties=species:S:1:pos:R:3 comment="DyTlCr2O8 (GGA+U, optimized geometry)" dft_energy_ev_per_cell=-81.3 vol_a3_per_cell=179.8 pbc="T T T"
Dy 3.6140 -0.8818 -1.6484
Tl 0.0000 0.0000 0.0000
Cr 2.2524 -0.0377 3.3884
Cr 1.0735 -2.9307 0.7814
O 1.3065 0.4879 2.1112
O 1.8807 -1.8259 -0.2068
O 3.3337 2.6863 1.4722
O 2.4613 1.4488 4.1290
O 2.0313 -3.2950 2.1225
O 1.5852 -1.2401 4.3428
O 3.6565 -0.8474 2.9703
O 4.4871 0.5955 0.0920